Record 1
Material: KNiS4
Method: DFT, GGA-PBE
State: optimized geometry

The structure in POSCAR format:
```
KNiS4
1.0
-5.365 -2.677 -1.471
4.509 -6.118 7.386
-3.048 -1.394 7.045
S K Ni
8 2 2
Cartesian
-4.041 -2.967 7.086
-2.294 -5.001 4.412
-3.989 -2.552 -0.204
0.086 -7.637 13.163
-2.695 -3.470 3.030
-1.610 -5.188 8.547
0.138 -7.222 5.873
-1.209 -6.719 9.929
-4.044 -7.346 8.428
0.140 -2.842 4.531
-3.365 -3.237 5.079
-0.539 -6.951 7.880
```

Values from the calculation:
DOS(E_F) in states/eV per cell: 2.46
V in Å³/f.u.: 179
Space-group type: C2/c
Formation energy without anion corrections in eV/atom: -0.354
E_tot in eV for the cell shown: -51.0

***

Record 2
Material: Y4Hg4Pb5
Method: DFT, GGA-PBE
State: optimized geometry

The structure in POSCAR format:
```
Y4Hg4Pb5
1.0
4.562 0.000 1.160
2.281 8.641 0.580
0.152 0.000 8.954
Pb Y Hg
5 4 4
Cartesian
4.249 6.365 2.388
5.274 7.373 7.909
1.720 1.267 2.785
0.000 0.000 0.000
2.745 2.275 8.306
4.350 3.055 1.993
0.904 0.860 5.994
6.090 7.781 4.700
2.645 5.586 8.701
1.624 4.465 3.165
3.533 2.667 5.207
5.371 4.176 7.529
3.462 5.973 5.487
```

Values from the calculation:
DOS(E_F) in states/eV per cell: 6.28
V in Å³/f.u.: 351
Space-group type: I4/m
Calculated formation energy in eV/atom: -0.343
E_tot in eV for the cell shown: -50.1

***

Record 3
Material: ZnAuSe2
Method: DFT, GGA-PBE
State: optimized geometry

The structure in POSCAR format:
```
ZnAuSe2
1.0
4.054 0.000 0.000
0.000 4.054 -0.022
0.000 0.057 5.906
Se Zn Au
2 1 1
Cartesian
0.000 3.587 5.339
2.027 1.549 2.016
0.000 1.554 3.683
2.027 3.587 3.672
```

Values from the calculation:
DOS(E_F) in states/eV per cell: 2.09
V in Å³/f.u.: 97
Space-group type: Pm
Formation energy without anion corrections in eV/atom: -0.112
E_tot in eV for the cell shown: -12.0

***

Record 4
Material: NdF
Method: DFT, GGA-PBE
State: optimized geometry

The structure in POSCAR format:
```
NdF
1.0
-3.268 -1.631 2.131
-1.365 -2.979 -4.375
3.770 -1.913 0.126
Nd F
2 2
Cartesian
0.619 -3.426 0.433
-1.483 -3.097 -2.550
-0.060 -4.916 -1.755
-0.804 -1.607 -0.362
```

Values from the calculation:
DOS(E_F) in states/eV per cell: 1.54
V in Å³/f.u.: 42
Space-group type: P6_3/mmc
Formation energy without anion corrections in eV/atom: -2.288
E_tot in eV for the cell shown: -22.4

***

Record 5
Material: Er3Ge
Method: DFT, GGA-PBE
State: optimized geometry

The structure in POSCAR format:
```
Er3Ge
1.0
3.970 0.000 0.000
0.000 3.969 0.000
0.000 0.000 7.421
Er Ge
3 1
Cartesian
0.000 1.985 3.253
1.985 0.000 5.406
1.985 1.985 0.619
0.000 0.000 0.617
```

Values from the calculation:
DOS(E_F) in states/eV per cell: 4.96
V in Å³/f.u.: 117
Space-group type: P-4m2
Calculated formation energy in eV/atom: -0.145
E_tot in eV for the cell shown: -18.9

***

Record 6
Material: LiTlHgI
Method: DFT, GGA-PBE
State: optimized geometry

The structure in POSCAR format:
```
LiTlHgI
1.0
-2.210 -0.470 -5.179
-0.956 -5.112 -2.211
-5.299 -1.850 -0.653
I Li Hg Tl
1 1 1 1
Cartesian
0.000 0.000 0.000
-2.116 -1.858 -2.011
-4.233 -3.716 -4.021
-6.349 -5.574 -6.032
```

Values from the calculation:
DOS(E_F) in states/eV per cell: 3.04
V in Å³/f.u.: 128
Space-group type: F-43m
Formation energy without anion corrections in eV/atom: -0.247
E_tot in eV for the cell shown: -7.1

***

Record 7
Material: Er6In2H
Method: DFT, GGA-PBE
State: optimized geometry

The structure in POSCAR format:
```
Er6In2H
1.0
-1.298 5.049 -3.532
1.497 -4.329 -6.739
-8.996 -2.597 -0.331
In Er H
4 12 2
Cartesian
-6.208 -2.922 -8.211
-1.462 -2.989 -4.475
-7.335 1.112 -6.126
-2.589 1.045 -2.390
0.281 -1.850 -6.741
-2.390 0.347 -5.405
-3.748 -1.783 -2.754
-3.266 -2.987 -6.972
-9.078 -0.027 -3.860
-6.407 -2.224 -5.196
-5.049 -0.094 -7.847
-0.147 -0.798 -2.760
-8.649 -1.079 -7.841
-6.904 -1.553 -0.812
-5.531 1.110 -3.629
-1.893 -0.324 -9.789
0.100 0.360 -5.135
-4.498 -1.298 -0.165
```

Values from the calculation:
DOS(E_F) in states/eV per cell: 22.97
V in Å³/f.u.: 240
Space-group type: P2_1/c
E_tot in eV for the cell shown: -75.8

***

Record 8
Material: SrAc2Cr2N6
Method: DFT, GGA-PBE
State: optimized geometry

The structure in POSCAR format:
```
SrAc2Cr2N6
1.0
-4.468 -0.773 5.190
0.336 -5.109 2.986
2.047 4.857 2.722
N Cr Ac Sr
6 2 2 1
Cartesian
-0.809 3.267 6.351
0.903 0.691 4.363
0.824 -1.855 5.575
-2.989 -1.716 6.536
-1.276 -4.291 4.548
-2.909 0.831 5.324
-3.239 -0.822 5.103
1.153 -0.203 5.795
-1.890 0.739 7.668
-0.195 -1.763 3.230
-1.211 2.042 3.956
```

Values from the calculation:
V in Å³/f.u.: 186
Space-group type: P-1
Formation energy without anion corrections in eV/atom: -0.886
E_tot in eV for the cell shown: -88.8

***

Record 9
Material: NbTl3I8
Method: DFT, GGA-PBE
State: optimized geometry

The structure in POSCAR format:
```
NbTl3I8
1.0
13.462 0.000 0.000
0.000 8.351 -4.821
0.000 0.000 9.643
Tl I Nb
6 16 2
Cartesian
1.991 2.687 0.000
8.722 1.343 2.327
1.991 7.007 -2.495
8.722 5.664 4.821
8.722 1.343 7.316
1.991 7.007 2.495
7.139 7.827 0.000
6.628 0.000 0.000
0.408 3.913 6.778
3.684 5.050 4.821
13.359 0.000 0.000
3.684 1.650 6.784
7.139 4.437 1.957
10.415 3.300 0.000
10.432 2.784 4.821
10.415 6.701 -1.963
3.701 5.567 0.000
7.139 4.437 -1.957
0.408 0.524 4.821
10.415 6.701 1.963
3.684 1.650 2.858
0.408 3.913 2.864
2.019 2.784 4.821
8.750 5.567 0.000
```

Values from the calculation:
V in Å³/f.u.: 542
Space-group type: P6_3mc
Formation energy without anion corrections in eV/atom: -0.505
E_tot in eV for the cell shown: -71.3

***

Record 10
Material: LaScMoN2
Method: DFT, GGA-PBE
State: optimized geometry

The structure in POSCAR format:
```
LaScMoN2
1.0
4.147 0.000 0.000
0.000 4.942 0.000
0.000 0.000 4.147
La N Mo Sc
1 2 1 1
Cartesian
2.074 2.471 2.074
2.074 0.000 0.000
0.000 0.000 2.074
0.000 0.000 0.000
0.000 2.471 0.000
```

Values from the calculation:
DOS(E_F) in states/eV per cell: 3.43
V in Å³/f.u.: 85
Space-group type: P4/mmm
Formation energy without anion corrections in eV/atom: 0.391
E_tot in eV for the cell shown: -36.8

***

Record 11
Material: VBiPb3
Method: DFT, GGA-PBE
State: optimized geometry

The structure in POSCAR format:
```
VBiPb3
1.0
5.371 0.000 0.000
0.000 5.371 0.000
0.000 0.000 5.371
Pb V Bi
3 1 1
Cartesian
0.000 2.686 0.000
0.000 0.000 2.686
2.686 0.000 0.000
0.000 0.000 0.000
2.686 2.686 2.686
```

Values from the calculation:
DOS(E_F) in states/eV per cell: 8.06
V in Å³/f.u.: 155
Space-group type: Pm-3m
Calculated formation energy in eV/atom: 0.434
E_tot in eV for the cell shown: -22.0

***

Record 12
Material: Ca2LaMo
Method: DFT, GGA-PBE
State: optimized geometry

The structure in POSCAR format:
```
Ca2LaMo
1.0
-0.637 1.985 3.995
-2.801 -3.319 1.202
7.402 -6.746 7.072
Ca Mo La
4 2 2
Cartesian
1.408 -1.815 2.495
-0.286 -2.559 4.939
2.916 -7.155 7.831
3.889 -4.632 9.274
1.441 -5.366 5.436
-1.719 -0.667 2.598
0.000 0.000 0.000
2.523 -2.714 6.833
```

Values from the calculation:
DOS(E_F) in states/eV per cell: 10.31
V in Å³/f.u.: 120
Space-group type: I-42d
Calculated formation energy in eV/atom: 0.866
E_tot in eV for the cell shown: -32.6

***

Record 13
Material: LaMnSi2
Method: DFT, GGA-PBE
State: optimized geometry

The structure in POSCAR format:
```
LaMnSi2
1.0
-2.337 0.482 4.345
2.343 -4.193 1.225
1.984 4.412 -1.084
La Mn Si
1 1 2
Cartesian
-0.175 1.519 3.023
2.165 -0.818 1.463
0.003 -1.593 2.391
0.000 -0.262 0.394
```

Values from the calculation:
DOS(E_F) in states/eV per cell: 3.45
V in Å³/f.u.: 85
Space-group type: Immm
Formation energy without anion corrections in eV/atom: -0.217
E_tot in eV for the cell shown: -25.8

***

Record 14
Material: DyZn11
Method: DFT, GGA-PBE
State: optimized geometry

The structure in POSCAR format:
```
DyZn11
1.0
6.218 0.000 2.835
3.109 7.460 1.418
0.013 0.000 8.205
Zn Dy
22 2
Cartesian
2.259 3.106 2.455
3.965 0.624 4.483
0.000 0.000 0.000
5.991 4.354 4.157
3.342 6.836 4.199
2.889 6.836 6.842
4.722 1.296 6.939
7.775 5.595 5.596
7.208 6.163 8.072
6.228 1.865 8.989
4.673 5.595 8.280
2.138 5.026 8.488
1.509 1.296 4.102
2.266 0.624 6.558
6.224 3.730 6.938
6.457 4.354 9.719
1.515 2.434 8.204
3.972 3.106 8.585
5.240 6.163 5.803
6.221 1.865 4.887
4.093 5.026 2.552
4.716 2.434 2.836
3.109 0.000 1.418
3.116 3.730 5.520
```

Values from the calculation:
DOS(E_F) in states/eV per cell: 7.14
V in Å³/f.u.: 190
Space-group type: I4_1/amd
Calculated formation energy in eV/atom: -0.175
E_tot in eV for the cell shown: -41.4

***

Record 15
Material: HoCoGe
Method: DFT, GGA-PBE
State: optimized geometry

The structure in POSCAR format:
```
HoCoGe
1.0
4.229 0.000 0.000
0.000 6.873 0.000
0.000 0.000 7.141
Ho Co Ge
4 4 4
Cartesian
3.172 6.795 4.974
1.057 0.079 2.167
3.172 3.358 5.738
1.057 3.516 1.403
3.172 4.495 3.095
1.057 2.379 4.047
3.172 1.058 0.476
1.057 5.815 6.665
3.172 5.484 0.731
1.057 4.826 4.302
1.057 1.390 6.410
3.172 2.047 2.840
```

Values from the calculation:
DOS(E_F) in states/eV per cell: 8.53
V in Å³/f.u.: 52
Space-group type: Pnma
Calculated formation energy in eV/atom: -0.675
E_tot in eV for the cell shown: -73.3

***

Record 16
Material: Th2VC
Method: DFT, GGA-PBE
State: optimized geometry

The structure in POSCAR format:
```
Th2VC
1.0
3.497 0.000 0.000
1.749 3.029 0.000
1.749 1.010 8.878
Th V C
2 1 1
Cartesian
1.749 1.010 5.971
5.246 3.029 2.906
0.000 0.000 0.000
3.497 2.019 4.439
```

Values from the calculation:
DOS(E_F) in states/eV per cell: 5.03
V in Å³/f.u.: 94
Space-group type: R-3m
Calculated formation energy in eV/atom: 0.460
E_tot in eV for the cell shown: -31.3

***

Record 17
Material: Np2MnPt9
Method: DFT, GGA-PBE
State: optimized geometry

The structure in POSCAR format:
```
Np2MnPt9
1.0
4.099 0.000 0.000
0.000 4.099 0.000
0.000 0.000 12.170
Pt Np Mn
9 2 1
Cartesian
2.049 2.049 4.000
0.000 2.049 1.913
0.000 2.049 10.258
2.049 2.049 0.000
2.049 0.000 6.085
0.000 2.049 6.085
2.049 0.000 10.258
2.049 2.049 8.170
2.049 0.000 1.913
0.000 0.000 8.208
0.000 0.000 3.962
0.000 0.000 0.000
```

Values from the calculation:
DOS(E_F) in states/eV per cell: 30.53
V in Å³/f.u.: 204
Space-group type: P4/mmm
Calculated formation energy in eV/atom: -0.515
E_tot in eV for the cell shown: -95.6

***

Record 18
Material: SbTe2Pb4Se
Method: DFT, GGA-PBE
State: optimized geometry

The structure in POSCAR format:
```
SbTe2Pb4Se
1.0
4.518 0.000 0.000
0.000 7.889 -0.153
0.000 2.779 7.351
Te Pb Se Sb
2 4 1 1
Cartesian
2.259 1.390 3.675
0.000 2.779 7.351
2.259 4.156 5.451
4.518 2.753 1.735
0.000 7.916 5.463
2.259 6.512 1.747
2.259 3.945 -0.076
0.000 5.334 3.599
```

Values from the calculation:
DOS(E_F) in states/eV per cell: 4.17
V in Å³/f.u.: 264
Space-group type: P2/m
Formation energy without anion corrections in eV/atom: -0.282
E_tot in eV for the cell shown: -31.0

***

Record 19
Material: NaGa2I2
Method: DFT, GGA-PBE
State: optimized geometry

The structure in POSCAR format:
```
NaGa2I2
1.0
8.435 0.000 0.000
0.000 8.435 0.000
0.000 0.000 4.878
Ga I Na
4 4 2
Cartesian
3.228 0.989 2.439
0.989 5.206 2.439
5.206 7.446 2.439
7.446 3.228 2.439
5.678 1.461 0.000
2.756 6.974 0.000
1.461 2.756 0.000
6.974 5.678 0.000
0.000 0.000 0.000
4.217 4.217 0.000
```

Values from the calculation:
DOS(E_F) in states/eV per cell: 6.01
V in Å³/f.u.: 174
Space-group type: P4/mbm
Formation energy without anion corrections in eV/atom: -0.293
E_tot in eV for the cell shown: -23.9

***

Record 20
Material: Zr2Tc
Method: DFT, GGA-PBE
State: optimized geometry

The structure in POSCAR format:
```
Zr2Tc
1.0
3.350 0.000 0.000
0.000 5.313 0.000
0.000 0.000 7.254
Zr Tc
4 2
Cartesian
0.000 3.071 5.731
1.675 0.415 5.149
1.675 4.898 2.104
0.000 2.241 1.523
0.000 0.000 0.000
1.675 2.656 3.627
```

Values from the calculation:
DOS(E_F) in states/eV per cell: 5.85
V in Å³/f.u.: 65
Space-group type: Pnnm
Calculated formation energy in eV/atom: 0.123
E_tot in eV for the cell shown: -54.2